Entry 1:
Material: MgAl2TlS
Method: DFT, GGA-PBE
State: relaxed

Density of states at the Fermi level (states/eV/f.u.): 1.95
Space-group type: P4/mmm, No. 123

Unit cell a=5.1513 b=5.4012 c=5.1513 alpha=90.00 beta=90.00 gamma=90.00
Last column: nearest neighbours and their distance in Å.
Atoms (fractional coordinates):
Tl (0.0000, 0.5000, 0.0000)  2 Mg 2.70
Al (0.0000, 0.0000, 0.5000)  2 Mg 2.58
Al (0.5000, 0.0000, 0.0000)  2 Mg 2.58
Mg (0.0000, 0.0000, 0.0000)  4 Al 2.58, 2 Tl 2.70
S (0.5000, 0.5000, 0.5000)  4 Tl 3.64, 8 Al 3.73

***

Entry 2:
Material: MgAlTlS3
Method: DFT, GGA-PBE
State: relaxed

Density of states at the Fermi level (states/eV/f.u.): 0.00
Space-group type: P2_1/m, No. 11

Unit cell a=3.7330 b=8.9636 c=10.0954 alpha=108.72 beta=90.00 gamma=90.00
Last column: nearest neighbours and their distance in Å.
Atoms (fractional coordinates):
S (0.2500, 0.1406, 0.8470)  1 Al 2.17
S (0.7500, 0.1712, 0.5217)  3 Al 2.34-2.35
S (0.7500, 0.8594, 0.1530)  1 Al 2.17
S (0.7500, 0.4708, 0.1554)  3 Mg 2.50-2.57
S (0.2500, 0.5292, 0.8446)  3 Mg 2.50-2.57
S (0.2500, 0.8288, 0.4783)  3 Al 2.34-2.35
Al (0.2500, 0.0929, 0.6227)  4 S 2.17-2.35
Al (0.7500, 0.9071, 0.3773)  4 S 2.17-2.35
Tl (0.2500, 0.2395, 0.1994)  2 S 2.93
Tl (0.7500, 0.7605, 0.8006)  2 S 2.93
Mg (0.2500, 0.6423, 0.1057)  5 S 2.50-2.63
Mg (0.7500, 0.3577, 0.8943)  5 S 2.50-2.63

***

Entry 3:
Material: TmMgAlS4
Method: DFT, GGA-PBE
State: relaxed

Space-group type: Imma, No. 74

Unit cell a=7.4945 b=7.5063 c=7.5063 alpha=60.20 beta=60.05 gamma=60.05
Last column: nearest neighbours and their distance in Å.
Atoms (fractional coordinates):
S (0.7475, 0.2456, 0.2593)  1 Al 2.30
S (0.2525, 0.2407, 0.2544)  1 Al 2.30
S (0.2559, 0.2484, 0.7484)  1 Al 2.32
S (0.2525, 0.7544, 0.7407)  1 Al 2.30
S (0.7441, 0.7516, 0.2516)  1 Al 2.32
S (0.7475, 0.7593, 0.7456)  1 Al 2.30
S (0.7474, 0.2484, 0.7484)  1 Al 2.32
S (0.2526, 0.7516, 0.2516)  1 Al 2.32
Al (0.6308, 0.6192, 0.1192)  4 S 2.30-2.32
Al (0.3692, 0.3808, 0.8808)  4 S 2.30-2.32
Mg (0.5000, 0.0000, 0.5000)  6 S 2.62-2.63
Mg (0.0000, 0.0000, 0.5000)  6 S 2.62-2.63
Tm (0.0000, 0.0000, 0.0000)  6 S 2.68
Tm (0.0000, 0.5000, 0.5000)  6 S 2.68

***

| no. | total moment (μB per formula unit) | formation energy without anion corrections (meV/atom) | calculated total energy (eV per atom) |
| --- | --- | --- | --- |
| 1 | 0.0 | 679 | -2.435 |
| 2 | 0.0 | -970 | -4.318 |
| 3 | 0.0 | -1494 | -5.254 |